# 1
DFT (PBE) results for Na2SrCu after structural relaxation.

Computed properties:
**Polymorph energy (0 for the lowest one)**: 0.0936 eV/atom
**ΔE_f**: 286.8 meV per atom
**V**: 117.2 Å³ per cell

Geometry as POSCAR:
```
Na2SrCu
1.0
0.000 3.884 3.884
3.884 0.000 3.884
3.884 3.884 0.000
Cu Sr Na
1 1 2
Direct
0.000 0.000 0.000 Cu
0.500 0.500 0.500 Sr
0.250 0.250 0.250 Na
0.750 0.750 0.750 Na
```



# 2
DFT (PBE) results for TaSb2P after structural relaxation.

Computed properties:
**Formation energy (no corrections)**: 30 meV per atom
**V**: 84.4 Å³ per cell

Geometry as POSCAR:
```
TaSb2P
1.0
1.932 -4.951 0.000
1.932 4.951 0.000
0.000 0.000 4.411
P Sb Ta
1 2 1
Direct
0.677 0.323 0.500 P
0.406 0.594 0.500 Sb
0.094 0.906 0.000 Sb
0.805 0.195 0.000 Ta
```



# 3
DFT (PBE) results for Y2HI after structural relaxation.

Computed properties:
**Polymorph energy (0 for the lowest one)**: 0.0000 eV/atom
**V**: 92.6 Å³ per cell

Geometry as POSCAR:
```
Y2HI
1.0
3.757 0.000 0.000
1.879 3.254 0.000
1.879 1.085 7.575
Y H I
2 1 1
Direct
0.276 0.276 0.172 Y
0.724 0.724 0.828 Y
0.000 0.000 0.000 H
0.500 0.500 0.500 I
```